Record 1
CeTl2Pb: optimized geometry, PBE.

Computed properties:
Its space-group type is Fm-3m. As for the calculated total energy: -14.80 eV per cell. The value obtained for the offset from the most stable computed form is 181 meV per atom. The value obtained for the formation energy is -0.106 eV/atom.

Lattice parameters (Å, degrees): 5.5484 5.5484 5.5484 60.00 60.00 60.00
With the nearest neighbours (Å) after each atom.
Atoms (fractional coordinates):
Ce 0.0000 0.0000 0.0000  8 Tl 3.40
Tl 0.2500 0.2500 0.2500  4 Ce 3.40, 4 Pb 3.40
Tl 0.7500 0.7500 0.7500  4 Pb 3.40, 4 Ce 3.40
Pb 0.5000 0.5000 0.5000  8 Tl 3.40

Record 2
CsRb2AgBr: optimized geometry, PBE.

Computed properties:
Its space-group type is P4/mmm. As for the calculated total energy: -9.95 eV per cell. The value obtained for the offset from the most stable computed form is 0 meV per atom. The calculation puts the energy relative to the elements, uncorrected at -0.527 eV/atom.

Lattice parameters (Å, degrees): 6.6040 6.6040 6.9971 90.00 90.00 90.00
With the nearest neighbours (Å) after each atom.
Atoms (fractional coordinates):
Cs 0.0000 0.0000 0.0000  2 Br 3.50
Rb 0.0000 0.5000 0.5000  2 Br 3.30
Rb 0.5000 0.0000 0.5000  2 Br 3.30
Ag 0.5000 0.5000 0.0000  4 Cs 4.67, 8 Rb 4.81
Br 0.0000 0.0000 0.5000  4 Rb 3.30, 2 Cs 3.50

Record 3
Ga5Sn12Pb3: optimized geometry, PBE.

Computed properties:
Its space-group type is Ia-3d. As for the calculated total energy: -279.05 eV per cell. The value obtained for the formation energy is 0.227 eV/atom.

Lattice parameters (Å, degrees): 14.8221 14.8221 14.8221 109.47 109.47 109.47
With the nearest neighbours (Å) after each atom.
Atoms (fractional coordinates):
Ga 0.0000 0.0000 0.0000  6 Sn 2.83
Ga 0.0000 0.0000 0.5000  6 Sn 2.83
Ga 0.0000 0.5000 0.0000  6 Sn 2.83
Ga 0.0000 0.5000 0.5000  6 Sn 2.83
Ga 0.1250 0.7500 0.8750  4 Sn 2.75
Ga 0.1250 0.8750 0.2500  4 Sn 2.75
Ga 0.2500 0.1250 0.8750  4 Sn 2.75
Ga 0.2500 0.6250 0.3750  4 Sn 2.75
Ga 0.3750 0.2500 0.6250  4 Sn 2.75
Ga 0.3750 0.6250 0.7500  4 Sn 2.75
Ga 0.5000 0.0000 0.0000  6 Sn 2.83
Ga 0.5000 0.0000 0.5000  6 Sn 2.83
Ga 0.5000 0.5000 0.0000  6 Sn 2.83
Ga 0.5000 0.5000 0.5000  6 Sn 2.83
Ga 0.6250 0.3750 0.2500  4 Sn 2.75
Ga 0.6250 0.7500 0.3750  4 Sn 2.75
Ga 0.7500 0.3750 0.6250  4 Sn 2.75
Ga 0.7500 0.8750 0.1250  4 Sn 2.75
Ga 0.8750 0.1250 0.7500  4 Sn 2.75
Ga 0.8750 0.2500 0.1250  4 Sn 2.75
Sn 0.0470 0.2180 0.1246  2 Ga 2.75-2.83
Sn 0.0470 0.3290 0.9224  2 Ga 2.75-2.83
Sn 0.0776 0.6246 0.4066  2 Ga 2.75-2.83
Sn 0.0776 0.9530 0.6710  2 Ga 2.75-2.83
Sn 0.0934 0.7180 0.6710  2 Ga 2.75-2.83
Sn 0.0934 0.8754 0.4224  2 Ga 2.75-2.83
Sn 0.1246 0.0470 0.2180  2 Ga 2.75-2.83
Sn 0.1246 0.5776 0.9066  2 Ga 2.75-2.83
Sn 0.1710 0.2180 0.5934  2 Ga 2.75-2.83
Sn 0.1710 0.4530 0.5776  2 Ga 2.75-2.83
Sn 0.2180 0.1246 0.0470  2 Ga 2.75-2.83
Sn 0.2180 0.5934 0.1710  2 Ga 2.75-2.83
Sn 0.2820 0.3290 0.9066  2 Ga 2.75-2.83
Sn 0.2820 0.4530 0.3754  2 Ga 2.75-2.83
Sn 0.3290 0.9066 0.2820  2 Ga 2.75-2.83
Sn 0.3290 0.9224 0.0470  2 Ga 2.75-2.83
Sn 0.3754 0.2820 0.4530  2 Ga 2.75-2.83
Sn 0.3754 0.5934 0.9224  2 Ga 2.75-2.83
Sn 0.4066 0.0776 0.6246  2 Ga 2.75-2.83
Sn 0.4066 0.8290 0.7820  2 Ga 2.75-2.83
Sn 0.4224 0.0934 0.8754  2 Ga 2.75-2.83
Sn 0.4224 0.8290 0.5470  2 Ga 2.75-2.83
Sn 0.4530 0.3754 0.2820  2 Ga 2.75-2.83
Sn 0.4530 0.5776 0.1710  2 Ga 2.75-2.83
Sn 0.5470 0.4224 0.8290  2 Ga 2.75-2.83
Sn 0.5470 0.6246 0.7180  2 Ga 2.75-2.83
Sn 0.5776 0.1710 0.4530  2 Ga 2.75-2.83
Sn 0.5776 0.9066 0.1246  2 Ga 2.75-2.83
Sn 0.5934 0.1710 0.2180  2 Ga 2.75-2.83
Sn 0.5934 0.9224 0.3754  2 Ga 2.75-2.83
Sn 0.6246 0.4066 0.0776  2 Ga 2.75-2.83
Sn 0.6246 0.7180 0.5470  2 Ga 2.75-2.83
Sn 0.6710 0.0776 0.9530  2 Ga 2.75-2.83
Sn 0.6710 0.0934 0.7180  2 Ga 2.75-2.83
Sn 0.7180 0.5470 0.6246  2 Ga 2.75-2.83
Sn 0.7180 0.6710 0.0934  2 Ga 2.75-2.83
Sn 0.7820 0.4066 0.8290  2 Ga 2.75-2.83
Sn 0.7820 0.8754 0.9530  2 Ga 2.75-2.83
Sn 0.8290 0.5470 0.4224  2 Ga 2.75-2.83
Sn 0.8290 0.7820 0.4066  2 Ga 2.75-2.83
Sn 0.8754 0.4224 0.0934  2 Ga 2.75-2.83
Sn 0.8754 0.9530 0.7820  2 Ga 2.75-2.83
Sn 0.9066 0.1246 0.5776  2 Ga 2.75-2.83
Sn 0.9066 0.2820 0.3290  2 Ga 2.75-2.83
Sn 0.9224 0.0470 0.3290  2 Ga 2.75-2.83
Sn 0.9224 0.3754 0.5934  2 Ga 2.75-2.83
Sn 0.9530 0.6710 0.0776  2 Ga 2.75-2.83
Sn 0.9530 0.7820 0.8754  2 Ga 2.75-2.83
Pb 0.1250 0.2500 0.3750  8 Sn 3.13-3.31
Pb 0.1250 0.3750 0.7500  8 Sn 3.13-3.31
Pb 0.2500 0.3750 0.1250  8 Sn 3.13-3.31
Pb 0.2500 0.8750 0.6250  8 Sn 3.13-3.31
Pb 0.3750 0.1250 0.2500  8 Sn 3.13-3.31
Pb 0.3750 0.7500 0.1250  8 Sn 3.13-3.31
Pb 0.6250 0.2500 0.8750  8 Sn 3.13-3.31
Pb 0.6250 0.8750 0.7500  8 Sn 3.13-3.31
Pb 0.7500 0.1250 0.3750  8 Sn 3.13-3.31
Pb 0.7500 0.6250 0.8750  8 Sn 3.13-3.31
Pb 0.8750 0.6250 0.2500  8 Sn 3.13-3.31
Pb 0.8750 0.7500 0.6250  8 Sn 3.13-3.31

Record 4
K2SbMoN: optimized geometry, PBE.

Computed properties:
Its space-group type is P4/mmm. As for the calculated total energy: -18.55 eV per cell. The calculation puts the energy relative to the elements, uncorrected at 1.385 eV/atom.

Lattice parameters (Å, degrees): 6.7874 6.7874 5.2966 90.00 90.00 90.00
With the nearest neighbours (Å) after each atom.
Atoms (fractional coordinates):
K 0.0000 0.5000 0.0000  2 Sb 3.39
K 0.5000 0.0000 0.0000  2 Sb 3.39
Sb 0.0000 0.0000 0.0000  2 Mo 2.65
Mo 0.0000 0.0000 0.5000  2 Sb 2.65
N 0.5000 0.5000 0.5000  8 K 4.30, 4 Mo 4.80

Record 5
DyCoSn4: optimized geometry, PBE.

Computed properties:
Its space-group type is Cmmm. As for the calculated total energy: -59.22 eV per cell. The value obtained for the formation energy is -0.316 eV/atom.

Lattice parameters (Å, degrees): 14.6190 14.6190 4.3905 90.00 90.00 162.76
With the nearest neighbours (Å) after each atom.
Atoms (fractional coordinates):
Dy 0.1924 0.8076 0.0000  10 Sn 3.17-3.47
Dy 0.8076 0.1924 0.0000  10 Sn 3.17-3.47
Co 0.4501 0.5499 0.5000  8 Sn 2.62-2.76, 1 Co 2.89
Co 0.5499 0.4501 0.5000  8 Sn 2.62-2.76, 1 Co 2.89
Sn 0.0000 0.0000 0.5000  4 Co 2.62
Sn 0.1076 0.8924 0.5000  2 Co 2.75
Sn 0.2852 0.7148 0.5000  2 Sn 2.99, 4 Dy 3.17
Sn 0.3923 0.6077 0.0000  2 Co 2.76
Sn 0.5000 0.5000 0.0000  4 Co 2.63
Sn 0.6077 0.3923 0.0000  2 Co 2.76
Sn 0.7148 0.2852 0.5000  2 Sn 2.99, 4 Dy 3.17
Sn 0.8924 0.1076 0.5000  2 Co 2.75

Record 6
ZrTaRe2: optimized geometry, PBE.

Computed properties:
Its space-group type is Pm. As for the calculated total energy: -45.76 eV per cell. The value obtained for the formation energy is -0.117 eV/atom.

Lattice parameters (Å, degrees): 2.8661 4.5592 5.3306 90.00 101.11 90.00
With the nearest neighbours (Å) after each atom.
Atoms (fractional coordinates):
Zr 0.0000 0.0000 0.0000  4 Re 2.76-2.79, 2 Zr 2.87, 2 Ta 2.87
Ta 0.2717 0.5000 0.7351  4 Re 2.74-2.81, 2 Ta 2.87, 2 Zr 2.87
Re 0.5080 0.0000 0.4964  2 Ta 2.76, 2 Zr 2.76-2.78, 4 Re 2.80-2.87
Re 0.7550 0.5000 0.2456  2 Ta 2.74-2.81, 2 Zr 2.79, 4 Re 2.80-2.87

Record 7
ErPuTlCl6: optimized geometry, PBE.

Computed properties:
Its space-group type is P-31c. As for the calculated total energy: -97.84 eV per cell. The calculation puts the energy relative to the elements, uncorrected at -1.842 eV/atom.

Lattice parameters (Å, degrees): 7.1534 7.1534 13.9569 90.00 90.00 120.00
With the nearest neighbours (Å) after each atom.
Atoms (fractional coordinates):
Er 0.3333 0.6667 0.2500  6 Cl 2.64
Er 0.6667 0.3333 0.7500  6 Cl 2.64
Pu 0.3333 0.6667 0.7500  6 Cl 2.84
Pu 0.6667 0.3333 0.2500  6 Cl 2.84
Tl 0.0000 0.0000 0.0000  6 Cl 3.28
Tl 0.0000 0.0000 0.5000  6 Cl 3.28
Cl 0.0208 0.3784 0.1404  1 Er 2.64, 1 Pu 2.84
Cl 0.0208 0.6424 0.3596  1 Er 2.64, 1 Pu 2.84
Cl 0.3576 0.3784 0.3596  1 Er 2.64, 1 Pu 2.84
Cl 0.3576 0.9792 0.1404  1 Er 2.64, 1 Pu 2.84
Cl 0.3784 0.0208 0.6404  1 Er 2.64, 1 Pu 2.84
Cl 0.3784 0.3576 0.8596  1 Er 2.64, 1 Pu 2.84
Cl 0.6216 0.6424 0.1404  1 Er 2.64, 1 Pu 2.84
Cl 0.6216 0.9792 0.3596  1 Er 2.64, 1 Pu 2.84
Cl 0.6424 0.0208 0.8596  1 Er 2.64, 1 Pu 2.84
Cl 0.6424 0.6216 0.6404  1 Er 2.64, 1 Pu 2.84
Cl 0.9792 0.3576 0.6404  1 Er 2.64, 1 Pu 2.84
Cl 0.9792 0.6216 0.8596  1 Er 2.64, 1 Pu 2.84

Record 8
DyTm9Sc2: optimized geometry, PBE.

Computed properties:
Its space-group type is P6/mmm. As for the calculated total energy: -56.95 eV per cell. The value obtained for the offset from the most stable computed form is 7 meV per atom. The value obtained for the formation energy is 0.046 eV/atom.

Lattice parameters (Å, degrees): 10.9013 10.9013 3.4188 90.00 90.00 120.00
With the nearest neighbours (Å) after each atom.
Atoms (fractional coordinates):
Dy 0.0000 0.0000 0.0000  2 Dy 3.42, 12 Tm 3.79
Tm 0.0000 0.5000 0.0000  2 Sc 3.15, 10 Tm 3.42-3.48
Tm 0.1794 0.3588 0.5000  2 Sc 3.37, 8 Tm 3.39-3.48
Tm 0.1794 0.8206 0.5000  2 Sc 3.37, 8 Tm 3.39-3.48
Tm 0.3588 0.1794 0.5000  2 Sc 3.37, 8 Tm 3.39-3.48
Tm 0.5000 0.0000 0.0000  2 Sc 3.15, 10 Tm 3.42-3.48
Tm 0.5000 0.5000 0.0000  2 Sc 3.15, 10 Tm 3.42-3.48
Tm 0.6412 0.8206 0.5000  2 Sc 3.37, 8 Tm 3.39-3.48
Tm 0.8206 0.1794 0.5000  2 Sc 3.37, 8 Tm 3.39-3.48
Tm 0.8206 0.6412 0.5000  2 Sc 3.37, 8 Tm 3.39-3.48
Sc 0.3333 0.6667 0.0000  9 Tm 3.15-3.37, 2 Sc 3.42
Sc 0.6667 0.3333 0.0000  9 Tm 3.15-3.37, 2 Sc 3.42